1:
VASP calculation (PBE) on BaTe2AsI after structural relaxation.

a b c (Å): 6.6183 6.6183 6.3893
angles (deg): 90.00 90.00 90.00
Fractional positions:
1 Te 0.5000 0.0000 0.0000
2 Te 0.0000 0.5000 0.0000
3 Ba 0.0000 0.0000 0.0000
4 I 0.0000 0.0000 0.5000
5 As 0.5000 0.5000 0.5000

Computed properties:
Total moment, μB per formula unit: 0.00
Space-group type: P4/mmm (123)


2:
VASP calculation (PBE) on BaTe2AsI after structural relaxation.

a b c (Å): 5.6460 5.6460 5.6915
angles (deg): 90.00 90.00 90.00
Fractional positions:
1 I 0.0000 0.0000 0.5000
2 As 0.0000 0.0000 0.0000
3 Te 0.5000 0.0000 0.0000
4 Te 0.0000 0.5000 0.0000
5 Ba 0.5000 0.5000 0.5000

Computed properties:
Total moment, μB per formula unit: 0.00
Space-group type: P4/mmm (123)


The most stable arrangement is 2, and the next structure is 1150 meV per atom less stable.


1:
VASP calculation (PBE) on Ba2InAs after structural relaxation.

a b c (Å): 6.1557 6.1557 6.1557
angles (deg): 128.28 128.31 76.15
Fractional positions:
1 As 0.2500 0.7500 0.5000
2 In 0.7500 0.2500 0.5000
3 Ba 0.0000 0.0000 0.0000
4 Ba 0.5000 0.5000 0.0000

Computed properties:
Total moment, μB per formula unit: 0.00
Space-group type: I4/mmm (139)


2:
VASP calculation (PBE) on Ba2InAs after structural relaxation.

a b c (Å): 9.8952 9.8952 9.8952
angles (deg): 26.77 26.77 26.77
Fractional positions:
1 In 0.4751 0.4751 0.4751
2 Ba 0.0325 0.0325 0.0325
3 Ba 0.2255 0.2255 0.2255
4 As 0.7669 0.7669 0.7669

Computed properties:
Total moment, μB per formula unit: 0.00
Space-group type: R3m (160)


The most stable arrangement is 1, and the next structure is 64 meV per atom less stable.


1:
VASP calculation (PBE) on Ba2InAs after structural relaxation.

a b c (Å): 9.2406 9.2406 7.5910
angles (deg): 52.51 52.51 90.00
Fractional positions:
1 Ba 0.1693 0.6250 0.2500
2 Ba 0.5807 0.1250 0.2500
3 Ba 0.8750 0.8307 0.7500
4 Ba 0.3750 0.4193 0.7500
5 As 0.5000 0.5000 0.0000
6 As 0.2500 0.7500 0.5000
7 In 0.7500 0.2500 0.5000
8 In 0.0000 0.0000 0.0000

Computed properties:
Total moment, μB per formula unit: 0.00
Space-group type: I-42d (122)


2:
VASP calculation (PBE) on Ba2InAs after structural relaxation.

a b c (Å): 5.8672 5.8672 5.8672
angles (deg): 60.00 60.00 60.00
Fractional positions:
1 Ba 0.2500 0.2500 0.2500
2 Ba 0.7500 0.7500 0.7500
3 In 0.5000 0.5000 0.5000
4 As 0.0000 0.0000 0.0000

Computed properties:
Total moment, μB per formula unit: 0.00
Space-group type: Fm-3m (225)


The most stable arrangement is 2, and the next structure is 95 meV per atom less stable.


1:
VASP calculation (PBE) on Ba2InAs after structural relaxation.

a b c (Å): 6.7630 6.7630 4.5829
angles (deg): 90.00 90.00 44.74
Fractional positions:
1 As 0.7000 0.7000 0.8750
2 In 0.5562 0.5562 0.3751
3 Ba 0.9824 0.9824 0.8751
4 Ba 0.2614 0.2614 0.3748

Computed properties:
Total moment, μB per formula unit: 0.00
Space-group type: Amm2 (38)


2:
VASP calculation (PBE) on Ba2InAs after structural relaxation.

a b c (Å): 3.9631 5.7357 6.9712
angles (deg): 90.00 90.00 90.00
Fractional positions:
1 Ba 0.0000 0.0000 0.8754
2 Ba 0.5000 0.5000 0.3746
3 As 0.5000 0.5000 0.8743
4 In 0.0000 0.0000 0.3757

Computed properties:
Total moment, μB per formula unit: 0.00
Space-group type: Pmm2 (25)


3:
VASP calculation (PBE) on Ba2InAs after structural relaxation.

a b c (Å): 4.6921 4.6921 9.5563
angles (deg): 75.90 75.90 59.93
Site moments in Bohr magnetons follow the coordinates.
Fractional positions:
1 In 0.2500 0.2500 0.2500  0.14
2 Ba 0.4815 0.4815 0.5546  0.04
3 Ba 0.0185 0.0185 0.9454  0.04
4 As 0.7500 0.7500 0.7500  0.01

Computed properties:
Total moment, μB per formula unit: 0.80
Space-group type: C2/m (12)


The most stable arrangement is 1, and the next structure is 126 meV per atom less stable.


1:
VASP calculation (PBE) on Ba2InAs after structural relaxation.

a b c (Å): 5.7913 5.7913 5.7913
angles (deg): 60.00 60.00 60.00
Fractional positions:
1 As 0.5000 0.5000 0.5000
2 Ba 0.0000 0.0000 0.0000
3 Ba 0.2500 0.2500 0.2500
4 In 0.7500 0.7500 0.7500

Computed properties:
Total moment, μB per formula unit: 0.00
Space-group type: F-43m (216)


2:
VASP calculation (PBE) on Ba2InAs after structural relaxation.

a b c (Å): 6.8026 6.8026 6.8026
angles (deg): 137.78 137.78 61.24
Fractional positions:
1 In 0.5000 0.5000 0.0000
2 Ba 0.0000 0.0000 0.0000
3 Ba 0.2500 0.7500 0.5000
4 As 0.7500 0.2500 0.5000

Computed properties:
Total moment, μB per formula unit: 0.00
Space-group type: I-4m2 (119)


The most stable arrangement is 2, and the next structure is 278 meV per atom less stable.


1:
VASP calculation (PBE) on Ba2InAs2 after structural relaxation.

a b c (Å): 4.5797 8.9619 8.9228
angles (deg): 90.00 104.87 90.00
Fractional positions:
1 Ba 0.8036 0.3705 0.6073
2 Ba 0.1964 0.8705 0.3927
3 Ba 0.9567 0.7382 0.9133
4 Ba 0.0433 0.2382 0.0867
5 In 0.5942 0.5822 0.1884
6 In 0.4058 0.0822 0.8116
7 As 0.1788 0.5003 0.3575
8 As 0.4497 0.4432 0.8994
9 As 0.5503 0.9432 0.1006
10 As 0.8212 0.0003 0.6425

Computed properties:
Total moment, μB per formula unit: 0.00
Space-group type: Cmc2_1 (36)


2:
VASP calculation (PBE) on Ba2InAs2 after structural relaxation.

a b c (Å): 8.2604 8.2604 4.7705
angles (deg): 90.00 90.00 90.00
Fractional positions:
1 As 0.1077 0.3923 0.0000
2 As 0.3923 0.8923 0.0000
3 As 0.6077 0.1077 0.0000
4 As 0.8923 0.6077 0.0000
5 Ba 0.8186 0.3186 0.5000
6 Ba 0.1814 0.6814 0.5000
7 Ba 0.6814 0.8186 0.5000
8 Ba 0.3186 0.1814 0.5000
9 In 0.0000 0.0000 0.0000
10 In 0.5000 0.5000 0.0000

Computed properties:
Total moment, μB per formula unit: 0.00
Space-group type: P4/mbm (127)


3:
VASP calculation (PBE) on Ba2InAs2 after structural relaxation.

a b c (Å): 6.6911 8.0439 8.8240
angles (deg): 65.05 67.72 65.42
Site moments in Bohr magnetons follow the coordinates.
Fractional positions:
1 In 0.3671 0.1166 0.1491  0.06
2 In 0.6329 0.8834 0.8509  0.06
3 As 0.1701 0.2476 0.4121  0.02
4 As 0.4602 0.2726 0.8071  0.03
5 As 0.8299 0.7524 0.5879  0.02
6 As 0.5398 0.7274 0.1929  0.03
7 Ba 0.3223 0.7653 0.5902  0.05
8 Ba 0.0431 0.7070 0.2069  0.07
9 Ba 0.6777 0.2347 0.4098  0.05
10 Ba 0.9569 0.2930 0.7931  0.07

Computed properties:
Total moment, μB per formula unit: 0.81
Space-group type: C2/m (12)


The most stable arrangement is 1, and the next structure is 33 meV per atom less stable.


1:
VASP calculation (PBE) on Ba3InAs3 after structural relaxation.

a b c (Å): 4.6618 14.2492 14.7036
angles (deg): 90.00 90.00 90.00
Fractional positions:
1 As 0.2500 0.4539 0.3500
2 As 0.2500 0.7695 0.8699
3 As 0.7500 0.7305 0.3699
4 As 0.2500 0.9166 0.6148
5 As 0.7500 0.2305 0.1301
6 As 0.2500 0.2695 0.6301
7 As 0.7500 0.5834 0.1148
8 As 0.7500 0.5461 0.6500
9 As 0.2500 0.9539 0.1500
10 As 0.7500 0.0461 0.8500
11 As 0.7500 0.0834 0.3852
12 As 0.2500 0.4166 0.8852
13 Ba 0.7500 0.0815 0.6072
14 Ba 0.7500 0.7804 0.6989
15 Ba 0.7500 0.5815 0.8928
16 Ba 0.7500 0.8679 0.9937
17 Ba 0.2500 0.1321 0.0063
18 Ba 0.2500 0.4185 0.1072
19 Ba 0.2500 0.9185 0.3928
20 Ba 0.2500 0.6321 0.4937
21 Ba 0.7500 0.2804 0.8011
22 Ba 0.2500 0.7196 0.1989
23 Ba 0.2500 0.2196 0.3011
24 Ba 0.7500 0.3679 0.5063
25 In 0.2500 0.9487 0.7959
26 In 0.7500 0.5513 0.2959
27 In 0.7500 0.0513 0.2041
28 In 0.2500 0.4487 0.7041

Computed properties:
Total moment, μB per formula unit: 0.00
Space-group type: Pnma (62)


2:
VASP calculation (PBE) on Ba3InAs3 after structural relaxation.

a b c (Å): 5.2226 8.2820 8.2820
angles (deg): 115.70 102.13 102.13
Fractional positions:
1 Ba 0.0414 0.5623 0.0000
2 Ba 0.4791 0.4377 0.4377
3 Ba 0.0414 0.0000 0.5623
4 In 0.3822 0.0000 0.0000
5 As 0.4513 0.3230 0.0000
6 As 0.1283 0.6770 0.6770
7 As 0.4513 0.0000 0.3230

Computed properties:
Total moment, μB per formula unit: 0.00
Space-group type: R3m (160)


The most stable arrangement is 1, and the next structure is 153 meV per atom less stable.


1:
VASP calculation (PBE) on BaInAs3 after structural relaxation.

a b c (Å): 5.3253 5.3253 5.3253
angles (deg): 90.00 90.00 90.00
Fractional positions:
1 As 0.5000 0.0000 0.0000
2 As 0.0000 0.5000 0.0000
3 As 0.0000 0.0000 0.5000
4 In 0.0000 0.0000 0.0000
5 Ba 0.5000 0.5000 0.5000

Computed properties:
Total moment, μB per formula unit: 0.00
Space-group type: Pm-3m (221)


2:
VASP calculation (PBE) on BaInAs3 after structural relaxation.

a b c (Å): 5.8919 5.8919 5.8919
angles (deg): 90.00 90.00 90.00
Fractional positions:
1 Ba 0.0000 0.0000 0.0000
2 As 0.0000 0.5000 0.0000
3 As 0.5000 0.0000 0.0000
4 As 0.0000 0.0000 0.5000
5 In 0.5000 0.5000 0.5000

Computed properties:
Total moment, μB per formula unit: 0.00
Space-group type: Pm-3m (221)


The most stable arrangement is 1, and the next structure is 913 meV per atom less stable.


1:
VASP calculation (PBE) on Ba3In2As4 after structural relaxation.

a b c (Å): 4.5250 7.9029 10.3708
angles (deg): 122.54 90.00 106.64
Fractional positions:
1 Ba 0.3699 0.7399 0.2574
2 Ba 0.0000 0.0000 0.0000
3 Ba 0.6301 0.2601 0.7426
4 As 0.1001 0.2003 0.4051
5 As 0.6840 0.3681 0.0920
6 As 0.3160 0.6319 0.9080
7 As 0.8999 0.7997 0.5949
8 In 0.6844 0.3687 0.3456
9 In 0.3156 0.6313 0.6544

Computed properties:
Total moment, μB per formula unit: 0.00
Space-group type: C2/m (12)


2:
VASP calculation (PBE) on Ba3In2As4 after structural relaxation.

a b c (Å): 8.5961 8.8775 9.4883
angles (deg): 117.89 91.63 90.00
Fractional positions:
1 In 0.0245 0.7872 0.3523
2 In 0.5245 0.5651 0.3523
3 In 0.9755 0.2128 0.6477
4 In 0.4755 0.4349 0.6477
5 Ba 0.2500 0.4734 0.0000
6 Ba 0.8708 0.2196 0.2516
7 Ba 0.7500 0.5266 0.0000
8 Ba 0.3708 0.0320 0.2516
9 Ba 0.6292 0.9680 0.7484
10 Ba 0.1292 0.7804 0.7484
11 As 0.8256 0.6459 0.4631
12 As 0.5184 0.2749 0.0976
13 As 0.6744 0.1828 0.5369
14 As 0.4816 0.7251 0.9024
15 As 0.9816 0.1773 0.9024
16 As 0.1744 0.3541 0.5369
17 As 0.3256 0.8172 0.4631
18 As 0.0184 0.8227 0.0976

Computed properties:
Total moment, μB per formula unit: 0.00
Space-group type: C2/c (15)


The most stable arrangement is 1, and the next structure is 97 meV per atom less stable.


1:
VASP calculation (PBE) on Ba2InSbAs after structural relaxation.

a b c (Å): 6.3840 5.2739 6.3840
angles (deg): 90.00 90.00 90.00
Fractional positions:
1 As 0.0000 0.0000 0.0000
2 Ba 0.0000 0.0000 0.5000
3 Ba 0.5000 0.0000 0.0000
4 Sb 0.5000 0.5000 0.5000
5 In 0.0000 0.5000 0.0000

Computed properties:
Total moment, μB per formula unit: 0.00
Space-group type: P4/mmm (123)


2:
VASP calculation (PBE) on Ba2InSbAs after structural relaxation.

a b c (Å): 4.6885 8.3921 10.2679
angles (deg): 110.44 90.00 90.00
Fractional positions:
1 Ba 0.2500 0.1478 0.3862
2 Ba 0.7500 0.8522 0.6138
3 Ba 0.2500 0.2495 0.9822
4 Ba 0.7500 0.7505 0.0178
5 Sb 0.7500 0.3113 0.7174
6 Sb 0.2500 0.6887 0.2826
7 As 0.7500 0.1614 0.1699
8 As 0.2500 0.8386 0.8301
9 In 0.2500 0.5128 0.6762
10 In 0.7500 0.4872 0.3238

Computed properties:
Total moment, μB per formula unit: 0.00
Space-group type: P2_1/m (11)


The most stable arrangement is 2, and the next structure is 248 meV per atom less stable.


1:
VASP calculation (PBE) on BaAs2IrSe after structural relaxation.

a b c (Å): 5.9134 5.9134 5.7965
angles (deg): 90.00 90.00 90.00
Site moments in Bohr magnetons follow the coordinates.
Fractional positions:
1 As 0.0000 0.5000 0.0000  -0.35
2 As 0.5000 0.0000 0.0000  -0.35
3 Se 0.0000 0.0000 0.5000  0.06
4 Ba 0.0000 0.0000 0.0000  -0.05
5 Ir 0.5000 0.5000 0.5000  2.11

Computed properties:
Total moment, μB per formula unit: 0.92
Space-group type: P4/mmm (123)


2:
VASP calculation (PBE) on BaAs2IrSe after structural relaxation.

a b c (Å): 5.8331 5.8331 5.2006
angles (deg): 90.00 90.00 90.00
Site moments in Bohr magnetons follow the coordinates.
Fractional positions:
1 Ba 0.0000 0.0000 0.0000  0.02
2 As 0.5000 0.0000 0.0000  0.10
3 As 0.0000 0.5000 0.0000  0.10
4 Ir 0.0000 0.0000 0.5000  0.08
5 Se 0.5000 0.5000 0.5000  -0.03

Computed properties:
Total moment, μB per formula unit: 0.47
Space-group type: P4/mmm (123)


The most stable arrangement is 2, and the next structure is 11 meV per atom less stable.


1:
VASP calculation (PBE) on BaAsIrSe2 after structural relaxation.

a b c (Å): 5.3643 5.3643 4.5849
angles (deg): 90.00 90.00 90.00
Fractional positions:
1 Se 0.0000 0.5000 0.0000
2 Se 0.5000 0.0000 0.0000
3 Ir 0.0000 0.0000 0.0000
4 Ba 0.5000 0.5000 0.5000
5 As 0.0000 0.0000 0.5000

Computed properties:
Total moment, μB per formula unit: 0.00
Space-group type: P4/mmm (123)


2:
VASP calculation (PBE) on BaAsIrSe2 after structural relaxation.

a b c (Å): 5.9023 5.9023 5.9640
angles (deg): 90.00 90.00 90.00
Site moments in Bohr magnetons follow the coordinates.
Fractional positions:
1 Ba 0.0000 0.0000 0.0000  0.01
2 Se 0.5000 0.0000 0.0000  0.32
3 Se 0.0000 0.5000 0.0000  0.32
4 Ir 0.5000 0.5000 0.5000  2.29
5 As 0.0000 0.0000 0.5000  0.03

Computed properties:
Total moment, μB per formula unit: 3.62
Space-group type: P4/mmm (123)


The most stable arrangement is 1, and the next structure is 2265 meV per atom less stable.